Entry P
A relaxed Zn2FeRu crystal, computed with GGA-PBEsol.

The density is 9.27 g/cm3. Its density of states at the Fermi level is 6.90 states/eV per cell.

It has space group Cmmm (No. 65), with a = 2.857 Å, b = 4.283 Å, c = 8.425 Å, α = 90.00°, β = 90.00° and γ = 90.00°. The asymmetric unit holds Zn at (0.000, 0.000, 0.243), Fe at (0.000, 0.500, 0.000) and Ru at (0.000, 0.500, 0.500).

Entry Q
A relaxed Zn2FeRu crystal, computed with GGA-PBEsol.

The density is 9.33 g/cm3. Its density of states at the Fermi level is 2.64 states/eV per cell.

It has space group P4/mmm (No. 123), with a = 3.665 Å, b = 3.665 Å, c = 3.813 Å, α = 90.00°, β = 90.00° and γ = 90.00°. The asymmetric unit holds Zn at (0.000, 0.500, 0.000), Fe at (0.000, 0.000, 0.500) and Ru at (0.500, 0.500, 0.500).

Computed stability ranking, most favorable first: entry Q, entry P

Entry P
A relaxed ZnFeRu crystal, computed with GGA-PBEsol.

The density is 9.65 g/cm3. Its density of states at the Fermi level is 2.53 states/eV per cell.

It has space group P3m1 (No. 156), with a = 4.1617 Å, b = 4.1617 Å, c = 2.5517 Å, α = 90.00°, β = 90.00° and γ = 120.00°. The asymmetric unit holds Zn at (0.0000, 0.0000, 0.0000), Fe at (0.3333, 0.6667, 0.3025) and Ru at (0.6667, 0.3333, 0.5927).

Entry Q
A relaxed ZnFeRu crystal, computed with GGA-PBEsol.

The density is 9.64 g/cm3. Its density of states at the Fermi level is 11.62 states/eV per cell.

It has space group Fmm2 (No. 42), with a = 2.800 Å, b = 4.309 Å, c = 12.700 Å, α = 90.00°, β = 90.00° and γ = 90.00°. The asymmetric unit holds Zn at (0.000, 0.000, 0.000), Fe at (0.000, 0.000, 0.664) and Ru at (0.000, 0.000, 0.325).

Computed stability ranking, most favorable first: entry P, entry Q

Entry P
A relaxed FeSeS2 crystal, computed with GGA-PBEsol.

The density is 4.62 g/cm3. Its density of states at the Fermi level is 12.18 states/eV per cell.

It has space group I-42d (No. 122), with a = 5.922 Å, b = 5.922 Å, c = 8.155 Å, α = 90.00°, β = 90.00° and γ = 90.00°. The asymmetric unit holds Fe at (0.000, 0.000, 0.000), Se at (0.000, 0.000, 0.500) and S at (0.174, 0.750, 0.125).

Entry Q
A relaxed FeSeS2 crystal, computed with GGA-PBEsol.

The density is 4.38 g/cm3. Its density of states at the Fermi level is 7.20 states/eV per cell.

It has space group R-3m (No. 166, hexagonal axes), with a = 3.4154 Å, b = 3.4154 Å, c = 22.3919 Å, α = 90.00°, β = 90.00° and γ = 120.00°. The asymmetric unit holds Fe at (0.0000, 0.0000, 0.0000), Se at (0.0000, 0.0000, 0.5000) and S at (0.0000, 0.0000, 0.0929).

Computed stability ranking, most favorable first: entry P, entry Q